# 1
A crystal of ReSiRu2 relaxed with PBEsol. Source: Alexandria, functional meta-GGA SCAN.

Calculated values
Formation energy from raw total energies: -1.568 eV/f.u.
V: 52.2 Å³/f.u.
D(E_F): 1.63 states/eV/cell
Total magnetic moment: 0.00 μB/cell
Space-group type: P4/mmm (123)

```
4
Lattice="2.8075 0.0000 0.0000 0.0000 2.8075 0.0000 0.0000 0.0000 6.6232" Properties=species:S:1:pos:R:3 pbc="T T T"
Re 1.4037 1.4037 3.3116
Si 1.4037 1.4037 0.0000
Ru 0.0000 0.0000 5.1532
Ru 0.0000 0.0000 1.4700
```

=====

# 2
A crystal of ReSiRu2 relaxed with PBEsol. Source: Alexandria, functional meta-GGA SCAN.

Calculated values
Formation energy from raw total energies: -0.998 eV/f.u.
V: 53.1 Å³/f.u.
D(E_F): 2.42 states/eV/cell
Total magnetic moment: 0.00 μB/cell
Space-group type: Imm2 (44)

```
4
Lattice="2.8489 0.0000 0.0000 0.0000 4.3110 -0.0174 -1.4244 -2.1378 4.3344" Properties=species:S:1:pos:R:3 pbc="T T T"
Ru 1.4244 0.0104 2.4172
Ru 1.4244 2.1730 4.2948
Si 0.0000 0.0166 4.2905
Re 0.0000 2.1641 1.9573
```

=====

# 3
A crystal of Re2SiRu relaxed with PBEsol. Source: Alexandria, functional meta-GGA SCAN.

Calculated values
Formation energy from raw total energies: 0.158 eV/f.u.
V: 54.9 Å³/f.u.
D(E_F): 2.76 states/eV/cell
Total magnetic moment: 0.00 μB/cell
Space-group type: F-43m (216)

```
4
Lattice="-1.7954 -3.7971 -0.7399 2.1645 -3.5801 0.8290 -1.1584 -2.4841 3.2675" Properties=species:S:1:pos:R:3 pbc="T T T"
Si -0.1973 -2.4653 0.8391
Ru -0.3947 -4.9307 1.6783
Re 0.0000 0.0000 0.0000
Re -0.5920 -7.3960 2.5174
```

=====

Which value of V does entry 3 give?
54.9 Å³/f.u.